Run P
{
  "formula": "KZr3Sb",
  "functional": "PBE",
  "state": "optimized geometry",
  "lattice": [[5.485, 0.000, 0.000], [0.000, 5.485, 0.000], [0.000, 0.000, 5.485]],
  "species": ["K", "Zr", "Zr", "Zr", "Sb"],
  "frac_coords": [[0.000, 0.000, 0.000], [0.000, 0.500, 0.500], [0.500, 0.000, 0.500], [0.500, 0.500, 0.000], [0.500, 0.500, 0.500]],
  "dos_at_fermi_per_ev_cell": 7.971,
  "vol_a3_per_atom": 33.01
}

***

Run Q
{
  "formula": "KZr3Sb",
  "functional": "PBE",
  "state": "optimized geometry",
  "lattice": [[4.962, 0.000, 0.000], [0.000, 4.962, 0.000], [0.000, 0.000, 4.962]],
  "species": ["K", "Zr", "Zr", "Zr", "Sb"],
  "frac_coords": [[0.000, 0.000, 0.000], [0.000, 0.000, 0.500], [0.000, 0.500, 0.000], [0.500, 0.000, 0.000], [0.500, 0.500, 0.500]],
  "dos_at_fermi_per_ev_cell": 6.195,
  "vol_a3_per_atom": 24.44
}

***

Q: Which of them is the most stable? A: run P.

***

Run P
{
  "formula": "KZrSb3",
  "functional": "PBE",
  "state": "optimized geometry",
  "lattice": [[5.529, 0.000, 0.000], [0.000, 5.529, 0.000], [0.000, 0.000, 5.529]],
  "species": ["K", "Zr", "Sb", "Sb", "Sb"],
  "frac_coords": [[0.000, 0.000, 0.000], [0.500, 0.500, 0.500], [0.000, 0.000, 0.500], [0.000, 0.500, 0.000], [0.500, 0.000, 0.000]],
  "dos_at_fermi_per_ev_cell": 4.105,
  "vol_a3_per_atom": 33.80
}

***

Run Q
{
  "formula": "KZrSb3",
  "functional": "PBE",
  "state": "optimized geometry",
  "lattice": [[5.624, 0.000, 0.000], [0.000, 5.624, 0.000], [0.000, 0.000, 5.624]],
  "species": ["K", "Zr", "Sb", "Sb", "Sb"],
  "frac_coords": [[0.000, 0.000, 0.000], [0.500, 0.500, 0.500], [0.000, 0.500, 0.500], [0.500, 0.000, 0.500], [0.500, 0.500, 0.000]],
  "dos_at_fermi_per_ev_cell": 4.795,
  "vol_a3_per_atom": 35.57
}

***

Q: Which of them is the most stable? A: run Q.

***

Run P
{
  "formula": "K3Sc",
  "functional": "PBE",
  "state": "optimized geometry",
  "lattice": [[3.718, 0.000, 0.000], [0.000, 6.527, 0.000], [0.000, 0.000, 8.446]],
  "species": ["K", "K", "K", "Sc"],
  "frac_coords": [[0.000, 0.000, 0.000], [0.500, 0.500, 0.275], [0.500, 0.500, 0.725], [0.000, 0.000, 0.500]],
  "dos_at_fermi_per_ev_cell": 4.273,
  "vol_a3_per_atom": 51.24
}

***

Run Q
{
  "formula": "K3Sc",
  "functional": "PBE",
  "state": "optimized geometry",
  "lattice": [[5.992, 0.000, 0.000], [0.000, 5.992, 0.000], [0.000, 0.000, 5.992]],
  "species": ["K", "K", "K", "Sc"],
  "frac_coords": [[0.000, 0.000, 0.500], [0.000, 0.500, 0.000], [0.500, 0.000, 0.000], [0.500, 0.500, 0.500]],
  "dos_at_fermi_per_ev_cell": 6.015,
  "vol_a3_per_atom": 53.78
}

***

Run R
{
  "formula": "K3Sc",
  "functional": "PBE",
  "state": "optimized geometry",
  "lattice": [[7.592, 0.000, 0.000], [0.000, 7.592, 0.000], [0.000, 0.000, 7.592]],
  "species": ["K", "K", "K", "Sc"],
  "frac_coords": [[0.000, 0.000, 0.500], [0.000, 0.500, 0.000], [0.500, 0.000, 0.000], [0.000, 0.000, 0.000]],
  "dos_at_fermi_per_ev_cell": 7.075,
  "vol_a3_per_atom": 109.39
}

***

Run S
{
  "formula": "K3Sc",
  "functional": "PBE",
  "state": "optimized geometry",
  "lattice": [[3.952, 0.000, 0.000], [-1.976, 3.422, 0.000], [0.000, 0.000, 14.741]],
  "species": ["K", "K", "K", "Sc"],
  "frac_coords": [[0.000, 0.000, 0.000], [0.333, 0.667, 0.279], [0.333, 0.667, 0.721], [0.000, 0.000, 0.500]],
  "dos_at_fermi_per_ev_cell": 3.847,
  "vol_a3_per_atom": 49.84
}

***

Q: Which of them is the most stable? A: run S.

***

Run P
{
  "formula": "K5Sc",
  "functional": "PBE",
  "state": "optimized geometry",
  "lattice": [[8.374, -2.005, 0.000], [8.374, 2.005, 0.000], [-2.639, 0.000, 10.342]],
  "species": ["K", "K", "K", "K", "K", "Sc"],
  "frac_coords": [[0.000, 0.000, 0.000], [0.061, 0.061, 0.653], [0.401, 0.401, 0.326], [0.682, 0.682, 0.379], [0.748, 0.748, 0.950], [0.343, 0.343, 0.680]],
  "dos_at_fermi_per_ev_cell": 6.866,
  "vol_a3_per_atom": 57.87
}

***

Run Q
{
  "formula": "K5Sc",
  "functional": "PBE",
  "state": "optimized geometry",
  "lattice": [[3.049, -9.541, 0.000], [3.049, 9.541, 0.000], [0.000, 0.000, 6.090]],
  "species": ["K", "K", "K", "K", "K", "Sc"],
  "frac_coords": [[0.000, 0.000, 0.000], [0.156, 0.844, 0.500], [0.345, 0.655, 0.000], [0.655, 0.345, 0.000], [0.844, 0.156, 0.500], [0.500, 0.500, 0.500]],
  "dos_at_fermi_per_ev_cell": 7.343,
  "vol_a3_per_atom": 59.06
}

***

Q: Which of them is the most stable? A: run P.